[1]
This record from Alexandria via LeMat-Bulk describes crystalline LaBe2CrOs at its relaxed geometry. The functional is PBE.

Unit cell a=4.421 b=4.421 c=4.475 alpha=90.00 beta=90.00 gamma=90.00
Fractional coordinates of all 5 atoms:
La 0.000 0.000 0.000
Be 0.000 0.500 0.500
Be 0.500 0.000 0.500
Cr 0.500 0.500 0.500
Os 0.500 0.500 0.000

Output
As for the crystal system: tetragonal. The value obtained for the volume is 17.49 Å³ per atom. The total magnetic moment comes out at 0.43 Bohr magnetons per cell. The total energy comes out at -6.16 eV per atom. The formation enthalpy at 0 K is 490 meV/atom.


[2]
This record from Alexandria via LeMat-Bulk describes crystalline LaBe2CrRe at its relaxed geometry. The functional is PBE.

Unit cell a=4.307 b=4.307 c=4.789 alpha=90.00 beta=90.00 gamma=90.00
Fractional coordinates of all 5 atoms:
La 0.000 0.000 0.000
Be 0.000 0.500 0.500
Be 0.500 0.000 0.500
Cr 0.000 0.000 0.500
Re 0.500 0.500 0.000

Output
As for the crystal system: tetragonal. The value obtained for the volume is 17.77 Å³ per atom. The total magnetic moment comes out at 2.96 Bohr magnetons per cell. The total energy comes out at -5.31 eV per atom. The formation enthalpy at 0 K is 1578 meV/atom.


[3]
This record from Alexandria via LeMat-Bulk describes crystalline LaBe2CrW at its relaxed geometry. The functional is PBE.

Unit cell a=4.626 b=4.626 c=4.533 alpha=90.00 beta=90.00 gamma=90.00
Fractional coordinates of all 5 atoms:
La 0.000 0.000 0.000
Be 0.000 0.500 0.500
Be 0.500 0.000 0.500
Cr 0.500 0.500 0.000
W 0.500 0.500 0.500

Output
As for the crystal system: tetragonal. The value obtained for the volume is 19.40 Å³ per atom. The total magnetic moment comes out at 2.13 Bohr magnetons per cell. The total energy comes out at -6.29 eV per atom. The formation enthalpy at 0 K is 702 meV/atom.


[4]
This record from Alexandria via LeMat-Bulk describes crystalline La2YBeCr at its relaxed geometry. The functional is PBE.

Unit cell a=5.573 b=5.573 c=4.592 alpha=90.00 beta=90.00 gamma=90.00
Fractional coordinates of all 5 atoms:
La 0.000 0.500 0.000
La 0.500 0.000 0.000
Y 0.000 0.000 0.500
Be 0.500 0.500 0.000
Cr 0.500 0.500 0.500

Output
As for the crystal system: tetragonal. The value obtained for the volume is 28.52 Å³ per atom. The total magnetic moment comes out at 2.96 Bohr magnetons per cell. The total energy comes out at -5.43 eV per atom. The formation enthalpy at 0 K is 500 meV/atom.


[5]
This record from Alexandria via LeMat-Bulk describes crystalline LaBeZn2Cr at its relaxed geometry. The functional is PBE.

Unit cell a=5.648 b=5.648 c=4.525 alpha=90.00 beta=90.00 gamma=90.00
Fractional coordinates of all 5 atoms:
La 0.000 0.000 0.000
Be 0.500 0.500 0.500
Zn 0.000 0.500 0.000
Zn 0.500 0.000 0.000
Cr 0.000 0.000 0.500

Output
As for the crystal system: tetragonal. The value obtained for the volume is 28.87 Å³ per atom. The total magnetic moment comes out at 0.20 Bohr magnetons per cell. The total energy comes out at -2.28 eV per atom. The formation enthalpy at 0 K is 1888 meV/atom.


[6]
This record from Alexandria via LeMat-Bulk describes crystalline LiBeCr2 at its relaxed geometry. The functional is PBE.

Unit cell a=2.294 b=4.076 c=4.718 alpha=90.00 beta=100.35 gamma=90.00
Fractional coordinates of all 4 atoms:
Li 0.000 0.000 0.000
Be 0.000 0.000 0.500
Cr 0.500 0.500 0.263
Cr 0.500 0.500 0.737

Output
As for the crystal system: monoclinic. The value obtained for the volume is 10.85 Å³ per atom. The total magnetic moment comes out at 0.00 Bohr magnetons per cell. The total energy comes out at -5.90 eV per atom. The formation enthalpy at 0 K is 320 meV/atom.


[7]
This record from Alexandria via LeMat-Bulk describes crystalline LiBeCr2 at its relaxed geometry. The functional is PBE.

Unit cell a=2.325 b=2.325 c=8.265 alpha=90.00 beta=90.00 gamma=96.18
Fractional coordinates of all 4 atoms:
Li 0.000 0.000 0.000
Be 0.000 0.000 0.500
Cr 0.500 0.500 0.278
Cr 0.500 0.500 0.722

Output
As for the crystal system: orthorhombic. The value obtained for the volume is 11.11 Å³ per atom. The total magnetic moment comes out at 0.00 Bohr magnetons per cell. The total energy comes out at -5.96 eV per atom. The formation enthalpy at 0 K is 264 meV/atom.


[8]
This record from Alexandria via LeMat-Bulk describes crystalline LiBeCr4 at its relaxed geometry. The functional is PBE.

Unit cell a=4.704 b=4.704 c=4.704 alpha=60.00 beta=60.00 gamma=60.00
Fractional coordinates of all 6 atoms:
Li 0.000 0.000 0.000
Be 0.750 0.750 0.750
Cr 0.374 0.374 0.374
Cr 0.374 0.374 0.877
Cr 0.374 0.877 0.374
Cr 0.877 0.374 0.374

Output
As for the crystal system: cubic. The value obtained for the volume is 12.27 Å³ per atom. The total magnetic moment comes out at 0.00 Bohr magnetons per cell. The total energy comes out at -6.79 eV per atom. The formation enthalpy at 0 K is 568 meV/atom.


[9]
This record from Alexandria via LeMat-Bulk describes crystalline LiBeCr2 at its relaxed geometry. The functional is PBE.

Unit cell a=2.340 b=2.340 c=8.218 alpha=90.00 beta=90.00 gamma=90.00
Fractional coordinates of all 4 atoms:
Li 0.000 0.000 0.000
Be 0.500 0.500 0.246
Cr 0.000 0.000 0.461
Cr 0.500 0.500 0.723

Output
As for the crystal system: tetragonal. The value obtained for the volume is 11.25 Å³ per atom. The total magnetic moment comes out at 0.00 Bohr magnetons per cell. The total energy comes out at -5.96 eV per atom. The formation enthalpy at 0 K is 265 meV/atom.


[10]
This record from Alexandria via LeMat-Bulk describes crystalline LiBeCr2 at its relaxed geometry. The functional is PBE.

Unit cell a=4.054 b=4.054 c=4.054 alpha=60.00 beta=60.00 gamma=60.00
Fractional coordinates of all 4 atoms:
Li 0.000 0.000 0.000
Be 0.750 0.750 0.750
Cr 0.250 0.250 0.250
Cr 0.500 0.500 0.500

Output
As for the crystal system: cubic. The value obtained for the volume is 11.78 Å³ per atom. The total magnetic moment comes out at 0.35 Bohr magnetons per cell. The total energy comes out at -5.83 eV per atom. The formation enthalpy at 0 K is 389 meV/atom.


[11]
This record from Alexandria via LeMat-Bulk describes crystalline LiBeCr2 at its relaxed geometry. The functional is PBE.

Unit cell a=2.324 b=2.324 c=8.227 alpha=90.00 beta=90.00 gamma=90.00
Fractional coordinates of all 4 atoms:
Li 0.000 0.000 0.000
Be 0.000 0.000 0.500
Cr 0.500 0.500 0.279
Cr 0.500 0.500 0.721

Output
As for the crystal system: tetragonal. The value obtained for the volume is 11.11 Å³ per atom. The total magnetic moment comes out at 0.00 Bohr magnetons per cell. The total energy comes out at -5.96 eV per atom. The formation enthalpy at 0 K is 266 meV/atom.


[12]
This record from Alexandria via LeMat-Bulk describes crystalline LiBeCr2 at its relaxed geometry. The functional is PBE.

Unit cell a=4.462 b=4.462 c=4.462 alpha=141.82 beta=126.02 gamma=68.03
Fractional coordinates of all 4 atoms:
Li 0.000 0.000 0.000
Be 0.237 0.737 0.500
Cr 0.505 0.505 0.000
Cr 0.728 0.228 0.500

Output
As for the crystal system: orthorhombic. The value obtained for the volume is 10.93 Å³ per atom. The total magnetic moment comes out at 0.01 Bohr magnetons per cell. The total energy comes out at -5.84 eV per atom. The formation enthalpy at 0 K is 383 meV/atom.


Copy entry 10 word for word.
This record from Alexandria via LeMat-Bulk describes crystalline LiBeCr2 at its relaxed geometry. The functional is PBE.

Unit cell a=4.054 b=4.054 c=4.054 alpha=60.00 beta=60.00 gamma=60.00
Fractional coordinates of all 4 atoms:
Li 0.000 0.000 0.000
Be 0.750 0.750 0.750
Cr 0.250 0.250 0.250
Cr 0.500 0.500 0.500

Output
As for the crystal system: cubic. The value obtained for the volume is 11.78 Å³ per atom. The total magnetic moment comes out at 0.35 Bohr magnetons per cell. The total energy comes out at -5.83 eV per atom. The formation enthalpy at 0 K is 389 meV/atom.


Question: Which value of total magnetic moment does entry 1 give?
Answer: 0.43 Bohr magnetons per cell


Question: Number 1 is which compound?
Answer: LaBe2CrOs


What did the third record say?
This record from Alexandria via LeMat-Bulk describes crystalline LaBe2CrW at its relaxed geometry. The functional is PBE.

Unit cell a=4.626 b=4.626 c=4.533 alpha=90.00 beta=90.00 gamma=90.00
Fractional coordinates of all 5 atoms:
La 0.000 0.000 0.000
Be 0.000 0.500 0.500
Be 0.500 0.000 0.500
Cr 0.500 0.500 0.000
W 0.500 0.500 0.500

Output
As for the crystal system: tetragonal. The value obtained for the volume is 19.40 Å³ per atom. The total magnetic moment comes out at 2.13 Bohr magnetons per cell. The total energy comes out at -6.29 eV per atom. The formation enthalpy at 0 K is 702 meV/atom.